Compound: LiSN2O
Source: Alexandria
Functional: PBE-GGA
Structure: optimized geometry

Unit cell a=3.8660 b=3.8660 c=3.8862 alpha=90.00 beta=90.00 gamma=90.00
Fractional coordinates of all 5 atoms:
Li 0.0000 0.0000 0.0000
S 0.5000 0.5000 0.0000
N 0.0000 0.5000 0.5000
N 0.5000 0.0000 0.5000
O 0.5000 0.5000 0.5000

Calculated values
Total DFT energy (no corrections) (eV per atom): -3.75
Space-group type: P4/mmm
M_tot (μB per cell): 2.7
DOS at the Fermi energy (states/eV per cell): 1.01
Formation energy (no corrections) (eV/atom): 1.7783
Calculated volume (Å³ per cell): 58.1